(1)
Computed, not measured: a relaxed structure of MnReAs2 at the PBE level of DFT.

Unit cell a=4.771 b=4.771 c=4.771 alpha=131.00 beta=131.00 gamma=71.82
Positions (direct):
Mn: 0.000 0.000 0.000
Re: 0.250 0.750 0.500
As: 0.500 0.500 0.000
As: 0.750 0.250 0.500

Computed properties:
D(E_F) ... 2.7 states/eV per cell
Total magnetization ... 0.5612 μB/atom
Formation energy ... 0.422 eV/atom
Energy above the most stable polymorph in this dataset ... 366 meV/atom

***

(2)
Computed, not measured: a relaxed structure of K2ThB2S6 at the PBE level of DFT.

Unit cell a=6.699 b=6.699 c=8.322 alpha=114.19 beta=114.19 gamma=60.85
Positions (direct):
K: 0.202 0.202 0.185
K: 0.798 0.798 0.815
Th: 0.000 0.000 0.500
B: 0.441 0.441 0.720
B: 0.559 0.559 0.280
S: 0.236 0.696 0.226
S: 0.264 0.264 0.631
S: 0.304 0.764 0.774
S: 0.696 0.236 0.226
S: 0.736 0.736 0.369
S: 0.764 0.304 0.774

Computed properties:
D(E_F) ... 0.0 states/eV per cell
Formation energy from raw total energies ... -1.0746 eV per atom
Total magnetization ... 0.0000 μB/atom

***

(3)
Computed, not measured: a relaxed structure of CoAsRu4 at the PBE level of DFT.

Unit cell a=5.097 b=5.097 c=5.097 alpha=60.00 beta=60.00 gamma=60.00
Positions (direct):
Co: 0.000 0.000 0.000
As: 0.250 0.250 0.250
Ru: 0.125 0.625 0.625
Ru: 0.625 0.125 0.625
Ru: 0.625 0.625 0.125
Ru: 0.625 0.625 0.625

Computed properties:
D(E_F) ... 9.7 states/eV per cell
Total magnetization ... 0.8408 μB/atom
Formation energy ... 0.782 eV/atom

***

(4)
Computed, not measured: a relaxed structure of NpNiH8Pd2 at the PBE level of DFT.

Unit cell a=4.853 b=4.853 c=5.985 alpha=90.00 beta=90.00 gamma=120.00
Positions (direct):
Np: 0.000 0.000 0.000
Ni: 0.000 0.000 0.500
H: 0.148 0.296 0.337
H: 0.148 0.852 0.337
H: 0.296 0.148 0.663
H: 0.333 0.667 0.903
H: 0.667 0.333 0.097
H: 0.704 0.852 0.337
H: 0.852 0.148 0.663
H: 0.852 0.704 0.663
Pd: 0.333 0.667 0.178
Pd: 0.667 0.333 0.822

Computed properties:
D(E_F) ... 10.7 states/eV per cell
Total magnetization ... 0.2827 μB/atom
E ... -4.608 eV per atom

***

(5)
Computed, not measured: a relaxed structure of BeOsBr2 at the PBE level of DFT.

Unit cell a=6.497 b=6.497 c=6.497 alpha=129.72 beta=129.72 gamma=73.85
Positions (direct):
Be: 0.000 0.000 0.000
Be: 0.750 0.250 0.500
Os: 0.250 0.750 0.500
Os: 0.500 0.500 0.000
Br: 0.086 0.625 0.961
Br: 0.375 0.336 0.461
Br: 0.664 0.125 0.039
Br: 0.875 0.914 0.539

Computed properties:
D(E_F) ... 5.3 states/eV per cell
Formation energy from raw total energies ... 1.0585 eV per atom
Total magnetization ... 0.0000 μB/atom
Energy above the most stable polymorph in this dataset ... 877 meV/atom

***

(6)
Computed, not measured: a relaxed structure of Hg2AsAu at the PBE level of DFT.

Unit cell a=5.370 b=5.370 c=5.370 alpha=131.72 beta=131.72 gamma=70.66
Positions (direct):
Hg: 0.250 0.750 0.500
Hg: 0.750 0.250 0.500
As: 0.000 0.000 0.000
Au: 0.500 0.500 0.000

Computed properties:
D(E_F) ... 2.3 states/eV per cell
Total magnetization ... 0.0000 μB/atom
Formation energy ... 0.283 eV/atom
Energy above the most stable polymorph in this dataset ... 157 meV/atom

***

> The highest total magnetization belongs to which entry?

CoAsRu4

***

Copy entry 4 word for word.
Computed, not measured: a relaxed structure of NpNiH8Pd2 at the PBE level of DFT.

Unit cell a=4.853 b=4.853 c=5.985 alpha=90.00 beta=90.00 gamma=120.00
Positions (direct):
Np: 0.000 0.000 0.000
Ni: 0.000 0.000 0.500
H: 0.148 0.296 0.337
H: 0.148 0.852 0.337
H: 0.296 0.148 0.663
H: 0.333 0.667 0.903
H: 0.667 0.333 0.097
H: 0.704 0.852 0.337
H: 0.852 0.148 0.663
H: 0.852 0.704 0.663
Pd: 0.333 0.667 0.178
Pd: 0.667 0.333 0.822

Computed properties:
D(E_F) ... 10.7 states/eV per cell
Total magnetization ... 0.2827 μB/atom
E ... -4.608 eV per atom

***

> D(E_F) of number 3 (CoAsRu4)?

9.7 states/eV per cell